Record 1
DFT (GGA-PBE) results for a relaxed structure of DyY3Ag2.

Values from the calculation:
Uncorrected energy   -0.190 Ha/atom
Size of the total moment   0.00 Bohr magnetons per cell
Energy relative to the elements   -208 meV per atom
D(E_F)   13.51 states/eV/cell

POSCAR file:
```
DyY3Ag2
1.0
5.100 0.000 0.000
0.000 9.139 0.000
0.000 0.000 6.987
Dy Y Ag
2 6 4
Direct
0.000 0.065 0.000
0.000 0.935 0.500
0.000 0.328 0.637
0.000 0.672 0.137
0.500 0.169 0.331
0.500 0.436 0.969
0.500 0.564 0.469
0.500 0.831 0.831
0.000 0.350 0.218
0.000 0.650 0.718
0.500 0.151 0.751
0.500 0.849 0.251
```

Record 2
DFT (GGA-PBE) results for a relaxed structure of PrThIrSe.

Values from the calculation:
Uncorrected energy   -0.271 Ha/atom
Size of the total moment   0.00 Bohr magnetons per cell
D(E_F)   1.30 states/eV/cell
E_form (uncorrected)   -1.245 eV per atom

POSCAR file:
```
PrThIrSe
1.0
2.062 1.190 7.511
-2.062 1.190 7.511
0.000 -2.381 7.511
Pr Th Ir Se
1 1 1 1
Direct
0.000 0.000 0.000
0.189 0.189 0.189
0.589 0.589 0.589
0.763 0.763 0.763
```

Record 3
DFT (GGA-PBE) results for a relaxed structure of Rb3Zr2O4F3.

Values from the calculation:
Uncorrected energy   -0.244 Ha/atom
Size of the total moment   0.00 Bohr magnetons per cell
D(E_F)   0.00 states/eV/cell
E_form (uncorrected)   -2.862 eV per atom

POSCAR file:
```
Rb3Zr2O4F3
1.0
-2.057 2.190 11.909
2.057 -2.190 11.909
2.057 2.190 -11.909
Rb Zr O F
3 2 4 3
Direct
0.000 0.000 0.000
0.196 0.196 0.000
0.804 0.804 0.000
0.398 0.398 0.000
0.602 0.602 0.000
0.318 0.318 0.000
0.411 0.911 0.500
0.589 0.089 0.500
0.682 0.682 0.000
0.093 0.593 0.500
0.500 0.500 0.000
0.907 0.407 0.500
```

Record 4
DFT (GGA-PBE) results for a relaxed structure of LiHoLuBe.

Values from the calculation:
Uncorrected energy   -0.131 Ha/atom
Size of the total moment   0.00 Bohr magnetons per cell
Energy relative to the elements   127 meV per atom
D(E_F)   4.46 states/eV/cell

POSCAR file:
```
LiHoLuBe
1.0
0.000 3.480 3.480
3.480 0.000 3.480
3.480 3.480 0.000
Li Ho Lu Be
1 1 1 1
Direct
0.000 0.000 0.000
0.750 0.750 0.750
0.250 0.250 0.250
0.500 0.500 0.500
```

Record 5
DFT (GGA-PBE) results for a relaxed structure of LaPr15In4.

Values from the calculation:
Uncorrected energy   -0.169 Ha/atom
Size of the total moment   0.00 Bohr magnetons per cell
Energy relative to the elements   -210 meV per atom
D(E_F)   29.01 states/eV/cell

POSCAR file:
```
LaPr15In4
1.0
5.031 0.000 0.000
0.000 5.031 0.000
0.000 0.000 25.794
La Pr In
1 15 4
Direct
0.000 0.000 0.000
0.000 0.500 0.108
0.000 0.500 0.304
0.000 0.500 0.500
0.000 0.500 0.696
0.000 0.500 0.892
0.500 0.000 0.108
0.500 0.000 0.304
0.500 0.000 0.500
0.500 0.000 0.696
0.500 0.000 0.892
0.500 0.500 0.000
0.500 0.500 0.207
0.500 0.500 0.402
0.500 0.500 0.598
0.500 0.500 0.793
0.000 0.000 0.207
0.000 0.000 0.402
0.000 0.000 0.598
0.000 0.000 0.793
```

Record 6
DFT (GGA-PBE) results for a relaxed structure of In2AgBiOs.

Values from the calculation:
Uncorrected energy   -0.145 Ha/atom
Size of the total moment   1.32 Bohr magnetons per cell
Energy relative to the elements   736 meV per atom
D(E_F)   5.12 states/eV/cell

POSCAR file:
```
In2AgBiOs
1.0
5.145 0.000 0.000
0.000 5.145 0.000
0.000 0.000 5.251
In Ag Bi Os
2 1 1 1
Direct
0.000 0.500 0.000
0.500 0.000 0.000
0.000 0.000 0.500
0.500 0.500 0.500
0.000 0.000 0.000
```

Record 7
DFT (GGA-PBE) results for a relaxed structure of Li4Nb.

Values from the calculation:
Uncorrected energy   -0.090 Ha/atom
Size of the total moment   4.52 Bohr magnetons per cell
Energy relative to the elements   1097 meV per atom
D(E_F)   3.31 states/eV/cell

POSCAR file:
```
Li4Nb
1.0
5.262 0.000 0.000
0.000 5.262 0.000
0.000 0.000 5.262
Li Nb
4 1
Direct
0.000 0.000 0.000
0.000 0.500 0.500
0.500 0.000 0.500
0.500 0.500 0.000
0.500 0.500 0.500
```

Record 8
DFT (GGA-PBE) results for a relaxed structure of LaPm6Sc.

Values from the calculation:
Uncorrected energy   -0.181 Ha/atom
Size of the total moment   0.00 Bohr magnetons per cell
Energy relative to the elements   37 meV per atom
D(E_F)   13.95 states/eV/cell

POSCAR file:
```
LaPm6Sc
1.0
5.113 0.000 0.000
0.000 5.113 0.000
0.000 0.000 10.220
La Pm Sc
1 6 1
Direct
0.000 0.000 0.000
0.000 0.500 0.259
0.000 0.500 0.741
0.500 0.000 0.259
0.500 0.000 0.741
0.500 0.500 0.000
0.500 0.500 0.500
0.000 0.000 0.500
```

Record 9
DFT (GGA-PBE) results for a relaxed structure of Li4Tl2Sn3.

Values from the calculation:
Uncorrected energy   -0.107 Ha/atom
Size of the total moment   0.00 Bohr magnetons per cell
Energy relative to the elements   -195 meV per atom
D(E_F)   4.16 states/eV/cell

POSCAR file:
```
Li4Tl2Sn3
1.0
6.980 -5.196 0.000
6.980 5.196 0.000
-0.595 0.000 5.736
Li Tl Sn
8 4 6
Direct
0.174 0.711 0.988
0.176 0.514 0.445
0.289 0.826 0.512
0.486 0.824 0.055
0.514 0.176 0.945
0.711 0.174 0.488
0.824 0.486 0.555
0.826 0.289 0.012
0.169 0.384 0.902
0.384 0.169 0.402
0.616 0.831 0.598
0.831 0.616 0.098
0.037 0.170 0.465
0.170 0.037 0.965
0.476 0.524 0.250
0.524 0.476 0.750
0.830 0.963 0.035
0.963 0.830 0.535
```

Record 10
DFT (GGA-PBE) results for a relaxed structure of ErIn2Pd.

Values from the calculation:
Uncorrected energy   -0.158 Ha/atom
Size of the total moment   0.33 Bohr magnetons per cell
Energy relative to the elements   -487 meV per atom
D(E_F)   2.43 states/eV/cell

POSCAR file:
```
ErIn2Pd
1.0
3.415 0.000 0.000
0.000 3.415 0.000
0.000 0.000 7.458
Er In Pd
1 2 1
Direct
0.000 0.000 0.000
0.500 0.500 0.290
0.500 0.500 0.710
0.000 0.000 0.500
```

Record 11
DFT (GGA-PBE) results for a relaxed structure of Ce2Pm2Si.

Values from the calculation:
Uncorrected energy   -0.193 Ha/atom
Size of the total moment   0.00 Bohr magnetons per cell
D(E_F)   8.26 states/eV/cell
E_form (uncorrected)   0.119 eV per atom

POSCAR file:
```
Ce2Pm2Si
1.0
-1.920 1.920 9.750
1.920 -1.920 9.750
1.920 1.920 -9.750
Ce Pm Si
2 2 1
Direct
0.250 0.750 0.500
0.750 0.250 0.500
0.079 0.079 0.000
0.921 0.921 0.000
0.500 0.500 0.000
```

Record 12
DFT (GGA-PBE) results for a relaxed structure of SrMoC3.

Values from the calculation:
Uncorrected energy   -0.153 Ha/atom
Size of the total moment   0.00 Bohr magnetons per cell
Energy relative to the elements   3862 meV per atom
D(E_F)   5.37 states/eV/cell

POSCAR file:
```
SrMoC3
1.0
4.233 0.000 0.000
0.000 4.233 0.000
0.000 0.000 4.233
Sr Mo C
1 1 3
Direct
0.000 0.000 0.000
0.500 0.500 0.500
0.000 0.000 0.500
0.000 0.500 0.000
0.500 0.000 0.000
```

Record 13
DFT (GGA-PBE) results for a relaxed structure of Sr2HoPdAu6.

Values from the calculation:
Uncorrected energy   -0.130 Ha/atom
Size of the total moment   0.00 Bohr magnetons per cell
Energy relative to the elements   -263 meV per atom
D(E_F)   3.28 states/eV/cell

POSCAR file:
```
Sr2HoPdAu6
1.0
0.000 5.294 5.294
5.294 0.000 5.294
5.294 5.294 0.000
Sr Ho Pd Au
2 1 1 6
Direct
0.250 0.250 0.250
0.750 0.750 0.750
0.000 0.000 0.000
0.500 0.500 0.500
0.256 0.256 0.744
0.256 0.744 0.256
0.256 0.744 0.744
0.744 0.256 0.256
0.744 0.256 0.744
0.744 0.744 0.256
```

Record 14
DFT (GGA-PBE) results for a relaxed structure of Al2SiH.

Values from the calculation:
Uncorrected energy   -0.141 Ha/atom
Size of the total moment   0.00 Bohr magnetons per cell
D(E_F)   1.56 states/eV/cell

POSCAR file:
```
Al2SiH
1.0
2.009 1.160 5.585
-2.009 1.160 5.585
0.000 -2.320 5.585
Al Si H
2 1 1
Direct
0.105 0.105 0.105
0.895 0.895 0.895
0.500 0.500 0.500
0.000 0.000 0.000
```

Record 15
DFT (GGA-PBE) results for a relaxed structure of Ba2LiPt.

Values from the calculation:
Uncorrected energy   -0.122 Ha/atom
Size of the total moment   0.00 Bohr magnetons per cell
Energy relative to the elements   -366 meV per atom
D(E_F)   2.99 states/eV/cell

POSCAR file:
```
Ba2LiPt
1.0
2.281 1.317 9.324
-2.281 1.317 9.324
0.000 -2.634 9.324
Ba Li Pt
2 1 1
Direct
0.000 0.000 0.000
0.210 0.210 0.210
0.440 0.440 0.440
0.605 0.605 0.605
```

Record 16
DFT (GGA-PBE) results for a relaxed structure of Y2AsP.

Values from the calculation:
Uncorrected energy   -0.261 Ha/atom
Size of the total moment   0.00 Bohr magnetons per cell
Energy relative to the elements   -1347 meV per atom
D(E_F)   0.23 states/eV/cell

POSCAR file:
```
Y2AsP
1.0
4.251 0.000 0.000
0.000 1.933 5.662
0.000 -1.933 5.662
Y As P
2 1 1
Direct
0.000 0.000 0.000
0.500 0.258 0.258
0.000 0.742 0.742
0.500 0.503 0.503
```

Record 17
DFT (GGA-PBE) results for a relaxed structure of LaAg4Bi.

Values from the calculation:
Uncorrected energy   -0.132 Ha/atom
Size of the total moment   0.00 Bohr magnetons per cell
Energy relative to the elements   -228 meV per atom
D(E_F)   3.16 states/eV/cell

POSCAR file:
```
LaAg4Bi
1.0
0.000 4.093 4.093
4.093 0.000 4.093
4.093 4.093 0.000
La Ag Bi
1 4 1
Direct
0.000 0.000 0.000
0.125 0.625 0.625
0.625 0.125 0.625
0.625 0.625 0.125
0.625 0.625 0.625
0.250 0.250 0.250
```

Record 18
DFT (GGA-PBE) results for a relaxed structure of Zn6CuNi8.

Values from the calculation:
Uncorrected energy   -0.142 Ha/atom
Size of the total moment   0.00 Bohr magnetons per cell
Energy relative to the elements   1 meV per atom
D(E_F)   9.14 states/eV/cell

POSCAR file:
```
Zn6CuNi8
1.0
3.376 1.949 4.826
-3.376 1.949 4.826
0.000 -3.899 4.826
Zn Cu Ni
6 1 8
Direct
0.144 0.622 0.422
0.378 0.578 0.856
0.422 0.144 0.622
0.578 0.856 0.378
0.622 0.422 0.144
0.856 0.378 0.578
0.000 0.000 0.000
0.093 0.374 0.876
0.124 0.907 0.626
0.252 0.252 0.252
0.374 0.876 0.093
0.626 0.124 0.907
0.748 0.748 0.748
0.876 0.093 0.374
0.907 0.626 0.124
```

Record 19
DFT (GGA-PBE) results for a relaxed structure of Pu2NiAg.

Values from the calculation:
Uncorrected energy   -0.330 Ha/atom
Size of the total moment   10.12 Bohr magnetons per cell
Energy relative to the elements   334 meV per atom
D(E_F)   10.26 states/eV/cell

POSCAR file:
```
Pu2NiAg
1.0
1.455 0.840 10.808
-1.455 0.840 10.808
0.000 -1.680 10.808
Pu Ni Ag
2 1 1
Direct
0.095 0.095 0.095
0.905 0.905 0.905
0.500 0.500 0.500
0.000 0.000 0.000
```

Record 20
DFT (GGA-PBE) results for a relaxed structure of CsMg6Co.

Values from the calculation:
Uncorrected energy   -0.072 Ha/atom
Size of the total moment   0.00 Bohr magnetons per cell
Energy relative to the elements   242 meV per atom
D(E_F)   4.08 states/eV/cell

POSCAR file:
```
CsMg6Co
1.0
3.212 0.000 0.000
0.000 3.781 8.916
0.000 -3.781 8.916
Cs Mg Co
1 6 1
Direct
0.000 0.000 0.000
0.000 0.387 0.387
0.000 0.392 0.970
0.000 0.970 0.392
0.500 0.010 0.628
0.500 0.568 0.568
0.500 0.628 0.010
0.500 0.262 0.262
```